Record 1
Below is an optimized crystal structure of UGaP2, with properties calculated at the GGA-PBE level.

a b c (Å): 4.3042 4.3042 3.6242
angles (deg): 90.00 90.00 90.00
Closest atoms and distances in Å follow each position.
Space group P4/mmm (No. 123)
Symmetry-distinct sites (fractional):
U: 0.0000 0.0000 0.0000  8 P 2.81, 4 Ga 3.04
Ga: 0.5000 0.5000 0.0000  8 P 2.81, 4 U 3.04
P: 0.0000 0.5000 0.5000  4 Ga 2.81, 4 U 2.81, 4 P 3.04

Energy relative to the lowest polymorph listed for this composition: 0.00 eV/f.u.
Energy of formation from the pure elements: -0.5954 eV per atom
Mass density: 9.14 g/cm³
Crystal system: tetragonal
DOS at the Fermi energy: 0.86 states/eV per atom



Record 2
Below is an optimized crystal structure of UGaP, with properties calculated at the GGA-PBE level.

a b c (Å): 3.7217 3.7217 10.6986
angles (deg): 90.00 90.00 120.00
Closest atoms and distances in Å follow each position.
Space group P-6m2 (No. 187)
Symmetry-distinct sites (fractional):
U: 0.0000 0.0000 0.1679  3 P 2.80, 3 Ga 3.05
Ga: 0.6667 0.3333 0.3706  3 P 2.56, 1 Ga 2.77
P: 0.0000 0.0000 0.5000  6 Ga 2.56
P: 0.6667 0.3333 0.0000  6 U 2.80

Energy of formation from the pure elements: -0.1592 eV per atom
Mass density: 8.77 g/cm³
Crystal system: hexagonal
DOS at the Fermi energy: 2.01 states/eV per atom



Record 3
Below is an optimized crystal structure of U2GaP, with properties calculated at the GGA-PBE level.

a b c (Å): 3.5520 3.5520 24.5289
angles (deg): 90.00 90.00 120.00
Closest atoms and distances in Å follow each position.
Space group R-3m (No. 166, hexagonal axes)
Symmetry-distinct sites (fractional):
U: 0.0000 0.0000 0.2399  3 P 2.73
Ga: 0.0000 0.0000 0.0000  6 U 3.08
P: 0.0000 0.0000 0.5000  6 U 2.73

Energy of formation from the pure elements: -0.2410 eV per atom
Mass density: 10.72 g/cm³
Crystal system: trigonal
DOS at the Fermi energy: 3.12 states/eV per atom



Record 4
Below is an optimized crystal structure of UGaP2, with properties calculated at the GGA-PBE level.

a b c (Å): 4.0069 4.0069 22.6875
angles (deg): 90.00 90.00 120.00
Closest atoms and distances in Å follow each position.
Space group R-3m (No. 166, hexagonal axes)
Symmetry-distinct sites (fractional):
U: 0.0000 0.0000 0.0000  6 P 2.73
Ga: 0.0000 0.0000 0.5000  2 P 2.34
P: 0.0000 0.0000 0.3970  1 Ga 2.34

Energy relative to the lowest polymorph listed for this composition: 2.00 eV/f.u.
Energy of formation from the pure elements: -0.0943 eV per atom
Mass density: 5.84 g/cm³
Crystal system: trigonal
DOS at the Fermi energy: 1.58 states/eV per atom



Record 5
Below is an optimized crystal structure of VGa2P, with properties calculated at the GGA-PBE level.

a b c (Å): 7.2695 7.2695 5.1437
angles (deg): 90.00 90.00 90.00
Closest atoms and distances in Å follow each position.
Space group I-42d (No. 122)
Symmetry-distinct sites (fractional):
V: 0.0000 0.0000 0.0000  2 P 2.57, 4 Ga 2.82
Ga: 0.2169 0.2500 0.6250  2 P 2.49, 2 Ga 2.62
P: 0.0000 0.0000 0.5000  4 Ga 2.49, 2 V 2.57

Energy of formation from the pure elements: 0.1640 eV per atom
Mass density: 5.41 g/cm³
Crystal system: tetragonal
DOS at the Fermi energy: 1.07 states/eV per atom



Record 6
Below is an optimized crystal structure of VGa3P, with properties calculated at the GGA-PBE level.

a b c (Å): 4.7339 4.7339 4.7339
angles (deg): 90.00 90.00 90.00
Closest atoms and distances in Å follow each position.
Space group Pm-3m (No. 221)
Symmetry-distinct sites (fractional):
V: 0.0000 0.0000 0.0000  12 Ga 3.35
Ga: 0.0000 0.5000 0.5000  2 P 2.37
P: 0.5000 0.5000 0.5000  6 Ga 2.37

Energy relative to the lowest polymorph listed for this composition: 0.00 eV/f.u.
Energy of formation from the pure elements: 0.7458 eV per atom
Mass density: 4.56 g/cm³
Crystal system: cubic
DOS at the Fermi energy: 1.14 states/eV per atom



Question: Among the records above, which one has the highest energy of formation from the pure elements?
Answer: VGa3P



Question: Number 5 is which compound?
Answer: VGa2P